DFT (GGA+U) results for a relaxed structure of HfFe2MoO6.

Unit cell a=5.3313 b=5.3706 c=5.6663 alpha=117.55 beta=90.21 gamma=119.53
Sites, in units of the cell vectors:
Hf (0.0000, 0.0000, 0.0000)
Fe (0.2817, 0.5718, 0.8690)
Fe (0.7922, 0.5772, 0.3769)
Mo (0.4936, 0.9929, 0.4916)
O (0.1012, 0.4835, 0.2134)
O (0.2302, 0.1034, 0.7105)
O (0.3809, 0.0951, 0.2099)
O (0.6168, 0.8246, 0.6956)
O (0.7053, 0.8222, 0.2001)
O (0.8872, 0.4978, 0.7175)

## Properties
final energy	-7.902	eV/atom